1.
Sr2CdAuSe PBE-GGA optimized geometry; N(E_F) = 3.14 states/eV/cell; formation energy without anion corrections = -1.62 eV/f.u.
1.0
-1.0220 4.6549 3.7882
0.4386 -3.0965 3.9233
5.9779 1.1303 0.2239
Sr Cd Se Au
2 1 1 1
direct
0.5000 0.0000 0.0000
0.0000 0.0000 0.5000
0.0000 0.0000 0.0000
0.5000 0.5000 0.5000
0.0000 0.5000 0.0000

2.
V2CdAuSe PBE-GGA optimized geometry; N(E_F) = 7.01 states/eV/cell; formation energy without anion corrections = 5.08 eV/f.u.
1.0
-4.1137 0.6293 -2.9848
2.3849 -2.2448 -3.7602
-1.8182 -4.5295 1.5509
Cd Au V Se
1 1 2 1
direct
0.5000 0.5000 0.5000
0.0000 0.0000 0.0000
0.0000 0.0000 0.5000
0.5000 0.0000 0.0000
0.0000 0.5000 0.0000

3.
Zr2CdAuSe PBE-GGA optimized geometry; N(E_F) = 5.04 states/eV/cell; formation energy without anion corrections = 5.03 eV/f.u.
1.0
-2.8354 4.4783 0.0337
-0.4931 -0.2748 -4.9598
-4.4477 -2.8205 0.5985
Zr Se Cd Au
2 1 1 1
direct
0.5000 0.0000 0.0000
0.0000 0.0000 0.5000
0.0000 0.5000 0.0000
0.0000 0.0000 0.0000
0.5000 0.5000 0.5000

4.
Cd3SiAu3 PBE-GGA optimized geometry; N(E_F) = 3.07 states/eV/cell; formation energy without anion corrections = -0.41 eV/f.u.
1.0
6.6066 0.0991 0.0345
-2.8546 5.9589 0.0345
-0.5277 -0.8520 7.3166
Cd Au Si
6 6 2
direct
0.8281 0.1719 0.5000
0.2395 0.7605 0.0000
0.3488 0.3488 0.6110
0.6512 0.6512 0.3890
0.7605 0.2395 0.0000
0.1719 0.8281 0.5000
0.9472 0.9472 0.1841
0.0528 0.0528 0.8159
0.5472 0.8533 0.7244
0.8533 0.5472 0.7244
0.4528 0.1467 0.2756
0.1467 0.4528 0.2756
0.6620 0.6620 0.9609
0.3380 0.3380 0.0391

5.
Cd2SiAu6 PBE-GGA optimized geometry; N(E_F) = 1.62 states/eV/cell; formation energy without anion corrections = -0.45 eV/f.u.
1.0
2.9764 0.0000 0.0000
0.0000 7.2572 -3.3417
0.0000 -0.7343 7.9564
Au Cd Si
6 2 1
direct
0.0000 0.7279 0.7274
0.5000 0.3788 0.3791
0.5000 0.9998 0.6209
0.0000 0.0005 0.2726
0.0000 0.2716 0.0000
0.5000 0.6221 0.0000
0.0000 0.3336 0.6673
0.0000 0.6663 0.3327
0.5000 0.9995 0.0000

6.
CdSiAu4 PBE-GGA optimized geometry; N(E_F) = 2.97 states/eV/cell; formation energy without anion corrections = -0.20 eV/f.u.; ΔE to the lowest computed polymorph = 0 meV per atom
1.0
4.6256 0.0000 -1.6008
0.0000 6.1779 0.0000
0.1025 0.0000 7.8585
Au Si Cd
8 2 2
direct
0.7479 0.2500 0.5024
0.8417 0.4932 0.2117
0.1583 0.9932 0.7883
0.8417 0.0068 0.2117
0.7159 0.2500 0.8817
0.2521 0.7500 0.4976
0.2841 0.7500 0.1183
0.1583 0.5068 0.7883
0.3020 0.2500 0.5789
0.6980 0.7500 0.4211
0.3095 0.2500 0.1369
0.6905 0.7500 0.8631